A geometry-optimized Sr7CaMnFe7O24 structure, computed with PBE+U.

Geometry as POSCAR:
```
Sr7CaMnFe7O24
1.0
7.809 0.000 0.000
0.000 7.809 0.000
0.000 0.000 7.809
Sr Ca Mn Fe O
7 1 1 7 24
Direct
0.750 0.250 0.750
0.750 0.250 0.250
0.750 0.750 0.250
0.250 0.250 0.750
0.250 0.250 0.250
0.250 0.750 0.750
0.250 0.750 0.250
0.748 0.748 0.748
0.501 0.501 0.501
0.501 0.999 0.999
0.501 0.999 0.501
0.501 0.501 0.999
0.999 0.999 0.999
0.999 0.999 0.501
0.999 0.501 0.999
0.999 0.501 0.501
0.750 0.998 0.998
0.751 0.998 0.502
0.751 0.502 0.998
0.748 0.503 0.503
0.250 0.999 0.999
0.249 0.999 0.501
0.249 0.501 0.999
0.252 0.501 0.501
0.501 0.249 0.999
0.501 0.252 0.501
0.502 0.751 0.998
0.503 0.748 0.503
0.999 0.250 0.999
0.999 0.249 0.501
0.998 0.750 0.998
0.998 0.751 0.502
0.502 0.998 0.751
0.501 0.999 0.249
0.503 0.503 0.748
0.501 0.501 0.252
0.998 0.998 0.750
0.999 0.999 0.250
0.998 0.502 0.751
0.999 0.501 0.249
```

Computed properties:
D(E_F)   19.0 states/eV per cell
Energy   -6.423 eV per atom